Record 1
Ac4TlNiBr2 after structural relaxation. Source: the Alexandria database, functional PBE.

Lattice parameters (Å, degrees): 8.2798 4.3704 8.3169 90.00 107.19 90.00
With the nearest neighbours (Å) after each atom.
Positions (direct):
Ac  0.1997  0.0000  0.2119  2 Ni 2.98, 1 Tl 3.29
Ac  0.2289  0.5000  0.7720  1 Ni 3.05, 2 Br 3.30, 2 Tl 3.31
Ac  0.7711  0.5000  0.2280  1 Ni 3.05, 2 Br 3.30, 2 Tl 3.31
Ac  0.8003  0.0000  0.7881  2 Ni 2.98, 1 Tl 3.29
Tl  0.0000  0.0000  0.5000  6 Ac 3.29-3.31
Ni  0.0000  0.5000  0.0000  6 Ac 2.98-3.05
Br  0.5000  0.0000  0.0000  6 Ac 3.30-3.45
Br  0.5000  0.5000  0.5000  6 Ac 3.63

Summary:
Its raw formation energy is -0.758 eV per atom. As for the space group: P2/m, No. 10. The density of states at the Fermi level comes out at 8.3 states/eV/f.u. Its total magnetization is 0.0 μB/f.u.

Record 2
MgBe after structural relaxation. Source: the Alexandria database, functional PBE.

Lattice parameters (Å, degrees): 2.9966 4.0047 5.1744 90.00 106.03 90.00
With the nearest neighbours (Å) after each atom.
Positions (direct):
Mg  0.1542  0.2500  0.3174  7 Be 2.60-2.84
Mg  0.8458  0.7500  0.6826  7 Be 2.60-2.84
Be  0.4452  0.2500  0.8882  2 Be 2.29
Be  0.5548  0.7500  0.1118  2 Be 2.29

Summary:
As for the space group: P2_1/m, No. 11. The density of states at the Fermi level comes out at 0.6 states/eV/f.u. The distance to the lowest polymorph of the same formula comes out at 0.0587 eV/atom. Its total magnetization is 0.0 μB/f.u. For the formation energy, the calculation gives 0.271 eV per atom.

Record 3
KInPb11 after structural relaxation. Source: the Alexandria database, functional PBE.

Lattice parameters (Å, degrees): 8.7278 8.7278 8.7604 97.82 97.82 135.64
With the nearest neighbours (Å) after each atom.
Positions (direct):
K  0.0000  0.0000  0.0000  18 Pb 4.07-4.38, 2 In 4.43
In  0.5000  0.5000  0.5000  10 Pb 3.28-3.48
Pb  0.0000  0.0000  0.5000  2 In 3.29, 8 Pb 3.35-3.49
Pb  0.0000  0.5000  0.0000  10 Pb 3.29-3.59
Pb  0.0069  0.3582  0.3559  8 Pb 3.36-3.72, 1 In 3.48
Pb  0.2868  0.5033  0.7795  1 In 3.28, 8 Pb 3.35-3.66
Pb  0.3582  0.0069  0.3559  8 Pb 3.36-3.72, 1 In 3.48
Pb  0.4967  0.7132  0.2205  1 In 3.28, 8 Pb 3.35-3.66
Pb  0.5000  0.0000  0.0000  10 Pb 3.29-3.59
Pb  0.5033  0.2868  0.7795  1 In 3.28, 8 Pb 3.35-3.66
Pb  0.6418  0.9931  0.6441  8 Pb 3.36-3.72, 1 In 3.48
Pb  0.7132  0.4967  0.2205  1 In 3.28, 8 Pb 3.35-3.66
Pb  0.9931  0.6418  0.6441  8 Pb 3.36-3.72, 1 In 3.48

Summary:
As for the space group: C2/m, No. 12. The density of states at the Fermi level comes out at 4.5 states/eV/f.u. Its total magnetization is 0.0 μB/f.u. For the formation energy, the calculation gives -0.020 eV per atom.

Record 4
Sm2InBi after structural relaxation. Source: the Alexandria database, functional PBE.

Lattice parameters (Å, degrees): 8.4654 8.4654 8.4654 29.62 29.62 29.62
With the nearest neighbours (Å) after each atom.
Positions (direct):
Sm  0.2461  0.2461  0.2461  3 Bi 3.16, 3 In 3.28
Sm  0.7539  0.7539  0.7539  3 Bi 3.16, 3 In 3.28
In  0.0000  0.0000  0.0000  6 Sm 3.28
Bi  0.5000  0.5000  0.5000  6 Sm 3.16

Summary:
As for the space group: R-3m, No. 166. The density of states at the Fermi level comes out at 2.2 states/eV/f.u. The distance to the lowest polymorph of the same formula comes out at 0.1192 eV/atom. Its total magnetization is 0.0 μB/f.u. For the formation energy, the calculation gives -0.550 eV per atom.

Record 5
NaSmDy4S8 after structural relaxation. Source: the Alexandria database, functional PBE.

Lattice parameters (Å, degrees): 8.1621 8.1621 8.1621 59.54 59.54 59.54
With the nearest neighbours (Å) after each atom.
Positions (direct):
Na  0.0000  0.0000  0.0000  4 S 2.71-2.72
Sm  0.3695  0.3695  0.3695  6 S 2.74-2.88
Dy  0.3693  0.3693  0.8869  6 S 2.69-2.84
Dy  0.3693  0.8869  0.3693  6 S 2.69-2.84
Dy  0.7482  0.7482  0.7482  4 S 2.64-2.66
Dy  0.8869  0.3693  0.3693  6 S 2.69-2.84
S  0.1315  0.1315  0.5914  2 Dy 2.69, 1 Na 2.71, 1 Sm 2.74
S  0.1315  0.5914  0.1315  2 Dy 2.69, 1 Na 2.71, 1 Sm 2.74
S  0.1354  0.1354  0.1354  3 Dy 2.69, 1 Na 2.72
S  0.1458  0.6188  0.6188  3 Dy 2.64-2.83, 1 Sm 2.88
S  0.5914  0.1315  0.1315  2 Dy 2.69, 1 Na 2.71, 1 Sm 2.74
S  0.6157  0.6157  0.6157  4 Dy 2.66-2.84
S  0.6188  0.1458  0.6188  3 Dy 2.64-2.83, 1 Sm 2.88
S  0.6188  0.6188  0.1458  3 Dy 2.64-2.83, 1 Sm 2.88

Summary:
Its raw formation energy is -1.951 eV per atom. As for the space group: R3m, No. 160. The density of states at the Fermi level comes out at 0.0 states/eV/f.u. Its total magnetization is 0.0 μB/f.u.

Record 6
NaY3Cu after structural relaxation. Source: the Alexandria database, functional PBE.

Lattice parameters (Å, degrees): 5.4924 5.4924 5.4924 90.00 90.00 90.00
With the nearest neighbours (Å) after each atom.
Positions (direct):
Na  0.0000  0.0000  0.0000  6 Y 2.75
Y  0.0000  0.0000  0.5000  2 Na 2.75
Y  0.0000  0.5000  0.0000  2 Na 2.75
Y  0.5000  0.0000  0.0000  2 Na 2.75
Cu  0.5000  0.5000  0.5000  12 Y 3.88

Summary:
As for the space group: Pm-3m, No. 221. The density of states at the Fermi level comes out at 8.6 states/eV/f.u. The distance to the lowest polymorph of the same formula comes out at 0.9525 eV/atom. Its total magnetization is 2.9 μB/f.u. For the formation energy, the calculation gives 1.158 eV per atom.

Record 7
U3Ni13 after structural relaxation. Source: the Alexandria database, functional PBE.

Lattice parameters (Å, degrees): 7.4364 5.2912 5.2912 90.17 90.00 90.00
With the nearest neighbours (Å) after each atom.
Positions (direct):
U  0.0000  0.0000  0.0000  10 Ni 2.52-2.79, 2 U 2.69
U  0.2490  0.2605  0.2605  11 Ni 2.60-2.73, 1 U 2.69
U  0.7510  0.2605  0.2605  11 Ni 2.60-2.73, 1 U 2.69
Ni  0.0000  0.5226  0.5226  8 Ni 2.46-2.66, 2 U 2.70
Ni  0.0000  0.5232  0.9873  5 Ni 2.46-2.68, 3 U 2.52-2.73
Ni  0.0000  0.9873  0.5232  5 Ni 2.46-2.68, 3 U 2.52-2.73
Ni  0.2542  0.7647  0.7647  11 Ni 2.56-2.70, 1 U 2.58
Ni  0.2660  0.2747  0.7503  9 Ni 2.49-2.77, 2 U 2.60-2.70
Ni  0.2660  0.7503  0.2747  9 Ni 2.49-2.77, 2 U 2.60-2.70
Ni  0.5000  0.0042  0.0042  10 Ni 2.56-2.73, 2 U 2.67
Ni  0.5000  0.0042  0.5203  10 Ni 2.55-2.73, 2 U 2.69
Ni  0.5000  0.5170  0.5170  10 Ni 2.49-2.71, 2 U 2.67
Ni  0.5000  0.5203  0.0042  10 Ni 2.55-2.73, 2 U 2.69
Ni  0.7340  0.2747  0.7503  9 Ni 2.49-2.77, 2 U 2.60-2.70
Ni  0.7340  0.7503  0.2747  9 Ni 2.49-2.77, 2 U 2.60-2.70
Ni  0.7458  0.7647  0.7647  11 Ni 2.56-2.70, 1 U 2.58

Summary:
As for the space group: Amm2, No. 38. The density of states at the Fermi level comes out at 19.6 states/eV/f.u. Its total magnetization is 0.0 μB/f.u. For the formation energy, the calculation gives -0.094 eV per atom.

Record 8
Na2LiPm after structural relaxation. Source: the Alexandria database, functional PBE.

Lattice parameters (Å, degrees): 12.6257 12.6257 12.6257 15.65 15.65 15.65
With the nearest neighbours (Å) after each atom.
Positions (direct):
Na  0.0917  0.0917  0.0917  1 Pm 3.43, 3 Li 3.44, 6 Na 3.44
Na  0.9083  0.9083  0.9083  1 Pm 3.43, 3 Li 3.44, 6 Na 3.44
Li  0.5000  0.5000  0.5000  6 Na 3.44, 6 Li 3.44
Pm  0.0000  0.0000  0.0000  2 Na 3.43, 6 Pm 3.44

Summary:
As for the space group: R-3m, No. 166. The density of states at the Fermi level comes out at 3.3 states/eV/f.u. Its total magnetization is 0.0 μB/f.u. For the formation energy, the calculation gives 0.197 eV per atom.

Record 9
GaOsRu3 after structural relaxation. Source: the Alexandria database, functional PBE.

Lattice parameters (Å, degrees): 4.4261 4.4261 4.4261 90.00 90.00 90.00
With the nearest neighbours (Å) after each atom.
Positions (direct):
Ga  0.0000  0.0000  0.0000  6 Ru 2.21
Os  0.5000  0.5000  0.5000  12 Ru 3.13
Ru  0.0000  0.0000  0.5000  2 Ga 2.21
Ru  0.0000  0.5000  0.0000  2 Ga 2.21
Ru  0.5000  0.0000  0.0000  2 Ga 2.21

Summary:
As for the space group: Pm-3m, No. 221. The density of states at the Fermi level comes out at 7.6 states/eV/f.u. The distance to the lowest polymorph of the same formula comes out at 0.0994 eV/atom. Its total magnetization is 1.9 μB/f.u. For the formation energy, the calculation gives 1.707 eV per atom.

Record 10
DyHoPb after structural relaxation. Source: the Alexandria database, functional PBE.

Lattice parameters (Å, degrees): 5.3028 5.3028 3.6955 90.00 90.00 120.00
With the nearest neighbours (Å) after each atom.
Positions (direct):
Dy  0.0000  0.0000  0.0000  3 Pb 3.23, 3 Ho 3.51
Ho  0.3333  0.6667  0.5353  3 Pb 3.20, 3 Dy 3.51
Pb  0.6667  0.3333  0.2802  3 Ho 3.20, 3 Dy 3.23

Summary:
As for the space group: P3m1, No. 156. The density of states at the Fermi level comes out at 4.1 states/eV/f.u. The distance to the lowest polymorph of the same formula comes out at 0.2233 eV/atom. Its total magnetization is 0.0 μB/f.u. For the formation energy, the calculation gives -0.192 eV per atom.

Record 11
MgZrTl3 after structural relaxation. Source: the Alexandria database, functional PBE.

Lattice parameters (Å, degrees): 5.2628 5.2628 5.2628 90.00 90.00 90.00
With the nearest neighbours (Å) after each atom.
Positions (direct):
Mg  0.0000  0.0000  0.0000  6 Tl 2.63
Zr  0.5000  0.5000  0.5000  12 Tl 3.72
Tl  0.0000  0.0000  0.5000  2 Mg 2.63
Tl  0.0000  0.5000  0.0000  2 Mg 2.63
Tl  0.5000  0.0000  0.0000  2 Mg 2.63

Summary:
As for the space group: Pm-3m, No. 221. The density of states at the Fermi level comes out at 4.0 states/eV/f.u. The distance to the lowest polymorph of the same formula comes out at 0.1521 eV/atom. Its total magnetization is 0.0 μB/f.u. For the formation energy, the calculation gives 0.721 eV per atom.

Record 12
PmThZr2 after structural relaxation. Source: the Alexandria database, functional PBE.

Lattice parameters (Å, degrees): 3.9855 3.9855 7.0978 90.00 90.00 90.00
With the nearest neighbours (Å) after each atom.
Positions (direct):
Pm  0.0000  0.0000  0.0000  8 Zr 3.47, 2 Th 3.55
Th  0.0000  0.0000  0.5000  8 Zr 3.21, 2 Pm 3.55
Zr  0.5000  0.5000  0.2847  1 Zr 3.06, 4 Th 3.21
Zr  0.5000  0.5000  0.7153  1 Zr 3.06, 4 Th 3.21

Summary:
As for the space group: P4/mmm, No. 123. The density of states at the Fermi level comes out at 5.0 states/eV/f.u. The distance to the lowest polymorph of the same formula comes out at 0.0000 eV/atom. Its total magnetization is 0.0 μB/f.u. For the formation energy, the calculation gives 0.132 eV per atom.